VASP calculation (PBE-GGA) on a relaxed structure of PH3Ir.

Cell lengths 3.521, 3.521, 3.521 Å; angles 90.00, 90.00, 90.00 degrees
Space group Pm-3m (No. 221)
Unique sites:
P 0.000 0.000 0.000 x1
H 0.000 0.500 0.500 x3
Ir 0.500 0.500 0.500 x1

Computed properties:
The energy comes out at -21.2 eV for the cell shown. The value obtained for the size of the total moment is 0.0 Bohr magnetons per cell. For the density of states at the Fermi level, the calculation gives 1.65 states/eV/cell.

---

VASP calculation (PBE-GGA) on a relaxed structure of Nd8Te4P3O.

Cell lengths 8.3471, 8.3471, 21.8927 Å; angles 90.00, 90.00, 120.00 degrees
Space group R-3m (No. 166, hexagonal axes)
Unique sites:
Nd 0.0000 0.0000 0.2375 x6
Nd 0.0123 0.5062 0.2345 x18
Te 0.0000 0.0000 0.0000 x3
Te 0.0000 0.5000 0.0000 x9
P 0.0000 0.5000 0.5000 x9
O 0.0000 0.0000 0.5000 x3

Computed properties:
For the formation energy from raw total energies, the calculation gives -1636 meV/atom. The energy comes out at -294.2 eV for the cell shown. The value obtained for the size of the total moment is 0.0 Bohr magnetons per cell. For the density of states at the Fermi level, the calculation gives 19.10 states/eV/cell.

---

VASP calculation (PBE-GGA) on a relaxed structure of Cs2NbTe4Pd.

Cell lengths 6.294, 15.905, 26.021 Å; angles 90.00, 90.00, 90.00 degrees
Space group Fddd (No. 70, origin choice 2)
Unique sites:
Cs 0.125 0.125 0.305 x16
Nb 0.125 0.125 0.625 x8
Te 0.119 0.276 0.818 x32
Pd 0.125 0.125 0.125 x8

Computed properties:
For the formation energy from raw total energies, the calculation gives -701 meV/atom. The energy comes out at -281.2 eV for the cell shown. The value obtained for the size of the total moment is 0.0 Bohr magnetons per cell. For the density of states at the Fermi level, the calculation gives 50.82 states/eV/cell.